Density functional theory data (GGA-PBE) for a relaxed LaTiAu3 crystal.

```
LaTiAu3
1.0
-0.027 3.048 -4.574
0.585 -4.546 -3.033
-5.465 -0.502 -0.302
Ti Au La
1 3 1
direct
0.500 0.500 0.500
0.000 0.500 0.000
0.000 0.000 0.500
0.500 0.000 0.000
0.000 0.000 0.000
```

Values from the calculation:
symmetry	Pm-3m (221)
ΔE to the lowest computed polymorph	85.7	kJ per mole of atoms

=====

Density functional theory data (GGA-PBE) for a relaxed HgAs2 crystal.

```
HgAs2
1.0
4.201 0.000 0.000
0.000 4.656 0.000
0.000 0.000 8.000
Hg As
2 4
direct
0.000 0.000 0.000
0.500 0.500 0.500
0.000 0.180 0.606
0.000 0.820 0.394
0.500 0.680 0.894
0.500 0.320 0.106
```

Values from the calculation:
symmetry	Pnnm (58)

=====

Ordered ΔE_f results: 695 222; unit meV per atom.
Ordered energy results: -3.8358 -2.9782; unit eV/atom.
Ordered density of states at the Fermi level results: 0.78 0.37; unit states/eV per atom.